[1]
Material: Li2ErCu2Sb2
Method: DFT, PBE-GGA
State: optimized geometry

Geometry as POSCAR:
```
Li2ErCu2Sb2
1.0
4.400 0.000 0.000
2.200 3.811 0.000
2.200 1.270 8.259
Cu Li Er Sb
2 2 1 2
direct
0.403 0.403 0.792
0.597 0.597 0.208
0.864 0.864 0.408
0.136 0.136 0.592
0.000 0.000 0.000
0.748 0.748 0.756
0.252 0.252 0.244
```

## Properties
ΔE_f (raw): -0.5208 eV per atom
theoretical density: 6.62 g/cm3
density of states at the Fermi level: 1.93 states/eV/f.u.

=====

[2]
Material: LiEr2CuSe4
Method: DFT, PBE-GGA
State: optimized geometry

Geometry as POSCAR:
```
LiEr2CuSe4
1.0
-3.689 0.991 1.221
-2.659 -5.318 -3.715
1.587 -1.889 6.328
Er Li Se Cu
2 1 4 1
direct
0.000 0.500 0.500
0.500 0.000 0.500
0.500 0.500 0.000
0.500 0.236 0.236
0.000 0.258 0.755
0.000 0.742 0.245
0.500 0.764 0.764
0.000 0.000 0.000
```

## Properties
ΔE_f (raw): -1.3737 eV per atom
theoretical density: 6.75 g/cm3

=====

[3]
Material: LiErCuSi2
Method: DFT, PBE-GGA
State: optimized geometry

Geometry as POSCAR:
```
LiErCuSi2
1.0
3.944 0.000 0.000
0.000 3.944 0.000
-1.972 -1.972 5.149
Si Li Cu Er
2 1 1 1
direct
0.613 0.613 0.227
0.387 0.387 0.773
0.750 0.250 0.500
0.250 0.750 0.500
0.000 0.000 0.000
```

## Properties
ΔE_f (raw): -0.5393 eV per atom
theoretical density: 6.09 g/cm3
density of states at the Fermi level: 1.36 states/eV/f.u.

=====

[4]
Material: LiErCu2Si2
Method: DFT, PBE-GGA
State: optimized geometry

Geometry as POSCAR:
```
LiErCu2Si2
1.0
-3.527 -0.618 -1.933
3.410 -1.736 -1.384
-1.128 -5.177 3.715
Cu Si Li Er
2 2 1 1
direct
0.667 0.333 0.325
0.333 0.667 0.675
0.333 0.667 0.282
0.667 0.333 0.718
0.000 0.000 0.500
0.000 0.000 0.000
```

## Properties
ΔE_f (raw): -0.4633 eV per atom
theoretical density: 6.40 g/cm3
density of states at the Fermi level: 2.84 states/eV/f.u.

=====

[5]
Material: LiErCuSi
Method: DFT, PBE-GGA
State: optimized geometry

Geometry as POSCAR:
```
LiErCuSi
1.0
-0.573 -0.666 -4.366
2.872 -2.546 -2.260
-1.269 -3.999 -1.495
Si Cu Li Er
1 1 1 1
direct
0.500 0.500 0.500
0.750 0.750 0.750
0.250 0.250 0.250
0.000 0.000 0.000
```

## Properties
ΔE_f (raw): -0.3026 eV per atom
theoretical density: 7.07 g/cm3
density of states at the Fermi level: 1.79 states/eV/f.u.

=====

[6]
Material: LiSmErCu
Method: DFT, PBE-GGA
State: optimized geometry

Geometry as POSCAR:
```
LiSmErCu
1.0
5.056 0.000 0.000
2.528 4.378 0.000
2.528 1.459 4.128
Cu Li Er Sm
1 1 1 1
direct
0.250 0.250 0.250
0.750 0.750 0.750
0.500 0.500 0.500
0.000 0.000 0.000
```

## Properties
calculated formation energy: -21.1 meV per atom
theoretical density: 7.05 g/cm3
density of states at the Fermi level: 4.23 states/eV/f.u.

=====

[7]
Material: LiErThCu
Method: DFT, PBE-GGA
State: optimized geometry

Geometry as POSCAR:
```
LiErThCu
1.0
-1.010 -2.906 -4.018
-2.469 -4.377 0.599
-4.761 -0.467 -1.652
Er Cu Li Th
1 1 1 1
direct
0.500 0.500 0.500
0.250 0.250 0.250
0.750 0.750 0.750
0.000 0.000 0.000
```

## Properties
calculated formation energy: 79.7 meV per atom
theoretical density: 8.51 g/cm3
density of states at the Fermi level: 6.07 states/eV/f.u.

=====

[8]
Material: LiErTlCu
Method: DFT, PBE-GGA
State: optimized geometry

Geometry as POSCAR:
```
LiErTlCu
1.0
4.725 0.000 0.000
2.362 4.092 0.000
2.362 1.364 3.858
Cu Tl Li Er
1 1 1 1
direct
0.250 0.250 0.250
0.500 0.500 0.500
0.750 0.750 0.750
0.000 0.000 0.000
```

## Properties
calculated formation energy: -244.0 meV per atom
theoretical density: 9.84 g/cm3
density of states at the Fermi level: 1.13 states/eV/f.u.

=====

[9]
Material: LiErTmCu
Method: DFT, PBE-GGA
State: optimized geometry

Geometry as POSCAR:
```
LiErTmCu
1.0
-1.487 -4.453 1.602
3.221 -3.030 2.248
-0.403 -0.878 4.866
Er Tm Cu Li
1 1 1 1
direct
0.000 0.000 0.000
0.500 0.500 0.500
0.250 0.250 0.250
0.750 0.750 0.750
```

## Properties
calculated formation energy: -53.4 meV per atom
theoretical density: 7.82 g/cm3
density of states at the Fermi level: 3.53 states/eV/f.u.

=====

[10]
Material: LiYErCu
Method: DFT, PBE-GGA
State: optimized geometry

Geometry as POSCAR:
```
LiYErCu
1.0
-3.890 2.584 1.807
-4.412 -2.268 0.682
-1.664 -0.896 4.637
Li Er Y Cu
1 1 1 1
direct
0.000 0.000 0.000
0.250 0.250 0.250
0.750 0.750 0.750
0.500 0.500 0.500
```

## Properties
calculated formation energy: -47.3 meV per atom
theoretical density: 6.11 g/cm3
density of states at the Fermi level: 3.73 states/eV/f.u.

=====

[11]
Material: LiErZn6Cu
Method: DFT, PBE-GGA
State: optimized geometry

Geometry as POSCAR:
```
LiErZn6Cu
1.0
6.819 0.000 0.000
0.000 8.702 0.000
-3.409 -4.351 5.374
Zn Li Er Cu
12 2 2 2
direct
0.935 0.612 0.251
0.009 0.759 0.017
0.065 0.862 0.749
0.065 0.388 0.749
0.316 0.138 0.251
0.935 0.138 0.251
0.684 0.862 0.749
0.684 0.388 0.749
0.991 0.241 0.983
0.316 0.612 0.251
0.575 0.825 0.151
0.425 0.175 0.849
0.000 0.000 0.500
0.500 0.000 0.500
0.300 0.550 0.599
0.700 0.450 0.401
0.500 0.500 0.000
0.500 0.000 0.000
```

## Properties
calculated formation energy: -20.3 meV per atom
theoretical density: 6.56 g/cm3
density of states at the Fermi level: 4.94 states/eV/f.u.

=====

[12]
Material: LiEr2Zn12Cu3
Method: DFT, PBE-GGA
State: optimized geometry

Geometry as POSCAR:
```
LiEr2Zn12Cu3
1.0
-4.722 5.811 -0.256
-6.235 -2.076 -3.599
-5.468 -1.074 5.008
Zn Cu Li Er
12 3 1 2
direct
0.366 0.854 0.854
0.854 0.366 0.854
0.829 0.293 0.293
0.293 0.293 0.829
0.707 0.171 0.707
0.707 0.707 0.171
0.634 0.146 0.146
0.146 0.634 0.146
0.854 0.854 0.366
0.146 0.146 0.634
0.171 0.707 0.707
0.293 0.829 0.293
0.500 0.000 0.000
0.000 0.000 0.500
0.000 0.500 0.000
0.000 0.000 0.000
0.600 0.600 0.600
0.400 0.400 0.400
```

## Properties
calculated formation energy: 193.7 meV per atom
theoretical density: 6.00 g/cm3
density of states at the Fermi level: 7.23 states/eV/f.u.